Entry from Alexandria: an optimized crystal structure of Tl5Hg3Pb12 (PBE).

Calculated values
Electronic total energy ... -0.0974 Ha/atom
Calculated density ... 9.1 g/cm3
Formation energy ... 0.210 eV per atom

a = 18.1385 Å, b = 18.1385 Å, c = 18.1385 Å
α = 90.00°, β = 90.00°, γ = 90.00°
Space group Ia-3d (No. 230)
Inequivalent atoms, fractional coordinates:
Tl (0.0000, 0.0000, 0.0000)
Tl (0.0000, 0.2500, 0.3750)
Hg (0.0000, 0.2500, 0.1250)
Pb (0.0154, 0.0868, 0.6493)